Record 1
A plane-wave DFT calculation with PBE was carried out for a relaxed structure of Dy5YIr6.

Lattice parameters (Å, degrees): 4.7363 7.1627 7.4987 90.00 71.52 90.00
Fractional positions:
Dy 0.3333 0.0000 0.3333
Dy 0.6666 0.5000 0.6668
Dy 0.3334 0.5000 0.3332
Dy 0.0000 0.5000 0.0000
Dy 0.6667 0.0000 0.6667
Ir 0.1670 0.7495 0.6660
Ir 0.8330 0.7495 0.3340
Ir 0.5000 0.7490 0.0000
Ir 0.5000 0.2510 0.0000
Ir 0.8330 0.2505 0.3340
Ir 0.1670 0.2505 0.6660
Y 0.0000 0.0000 0.0000

Properties
Formation energy from the elements (eV/atom): -0.8120
ρ (g cm⁻³): 14.14
Symmetry: No. 10


Record 2
A plane-wave DFT calculation with PBE was carried out for a relaxed structure of HfH2Os.

Lattice parameters (Å, degrees): 3.8795 3.8795 3.8795 60.00 60.00 60.00
Fractional positions:
H 0.2500 0.2500 0.2500
H 0.7500 0.7500 0.7500
Hf 0.0000 0.0000 0.0000
Os 0.5000 0.5000 0.5000

Properties
Energy above the lowest structure with this stoichiometry (eV/f.u.): 1.90
ρ (g cm⁻³): 14.91
Symmetry: No. 225


Record 3
A plane-wave DFT calculation with PBE was carried out for a relaxed structure of Ho3Er7Tm2.

Lattice parameters (Å, degrees): 6.0659 6.0656 11.0516 79.39 100.61 70.60
Fractional positions:
Tm 0.3331 0.6668 0.6665
Tm 0.6669 0.3332 0.3335
Er 0.7500 0.7500 0.5000
Er 0.2500 0.2500 0.5000
Er 0.9164 0.5835 0.8330
Er 0.4165 0.0836 0.8330
Er 0.5835 0.9164 0.1670
Er 0.0836 0.4165 0.1670
Er 0.0000 0.0000 0.0000
Ho 0.5000 0.5000 0.0000
Ho 0.1669 0.8331 0.3336
Ho 0.8331 0.1669 0.6664

Properties
Energy above the lowest structure with this stoichiometry (eV/f.u.): 0.00
Formation energy from the elements (eV/atom): 0.0244
ρ (g cm⁻³): 9.15
Symmetry: No. 12


Record 4
A plane-wave DFT calculation with PBE was carried out for a relaxed structure of NbCr.

Lattice parameters (Å, degrees): 5.0878 5.0878 5.0878 90.00 90.00 90.00
Fractional positions:
Cr 0.0000 0.5000 0.5000
Cr 0.5000 0.0000 0.5000
Cr 0.0000 0.0000 0.0000
Cr 0.5000 0.5000 0.0000
Nb 0.5000 0.5000 0.5000
Nb 0.0000 0.0000 0.5000
Nb 0.0000 0.5000 0.0000
Nb 0.5000 0.0000 0.0000

Properties
Formation energy from the elements (eV/atom): 0.9106
ρ (g cm⁻³): 7.31
Symmetry: No. 225


Question: The highest ρ belongs to which entry?
Answer: HfH2Os